# ZrIn | Alexandria via LeMat-Bulk | GGA-PBE | optimized geometry
# E_form in eV per atom: -0.08
data_ZrIn
_cell_length_a 3.3334
_cell_length_b 3.3334
_cell_length_c 9.9320
_cell_angle_alpha 90.00
_cell_angle_beta 90.00
_cell_angle_gamma 120.00
_space_group_name_H-M_alt 'P -3 m 1'
_space_group_IT_number 164
_space_group_name_Hall '-P 3 2"'
loop_
_atom_site_label
_atom_site_fract_x
_atom_site_fract_y
_atom_site_fract_z
_atom_site_occupancy
Zr1 0.3333 0.6667 0.1232 1
In1 0.3333 0.6667 0.6250 1

---

# BaRu3 | Alexandria via LeMat-Bulk | GGA-PBE | optimized geometry
# E_form in eV per atom: 1.34
data_BaRu3
_cell_length_a 4.2320
_cell_length_b 4.2320
_cell_length_c 4.2320
_cell_angle_alpha 90.00
_cell_angle_beta 90.00
_cell_angle_gamma 90.00
_space_group_name_H-M_alt 'P m -3 m'
_space_group_IT_number 221
_space_group_name_Hall '-P 4 2 3'
loop_
_atom_site_label
_atom_site_fract_x
_atom_site_fract_y
_atom_site_fract_z
_atom_site_occupancy
Ba1 0.0000 0.0000 0.0000 1
Ru1 0.0000 0.5000 0.5000 1

---

# La8Sm2Tm3 | Alexandria via LeMat-Bulk | GGA-PBE | optimized geometry
# E_form in eV per atom: 0.15
data_La8Sm2Tm3
_cell_length_a 13.4054
_cell_length_b 11.9920
_cell_length_c 6.1261
_cell_angle_alpha 90.00
_cell_angle_beta 111.52
_cell_angle_gamma 90.00
_space_group_name_H-M_alt 'C 1 2/m 1'
_space_group_IT_number 12
loop_
_space_group_symop_operation_xyz
'x,y,z'
'-x,-y,-z'
'-x,y,-z'
'x,-y,z'
'x+1/2,y+1/2,z'
'-x+1/2,-y+1/2,-z'
'-x+1/2,y+1/2,-z'
'x+1/2,-y+1/2,z'
loop_
_atom_site_label
_atom_site_fract_x
_atom_site_fract_y
_atom_site_fract_z
_atom_site_occupancy
La1 0.0580 0.0000 0.2786 1
La2 0.1425 0.5000 0.5912 1
La3 0.1608 0.2570 0.1465 1
Sm1 0.2006 0.0000 0.8414 1
Tm1 0.0000 0.2444 0.5000 1
Tm2 0.0000 0.5000 0.0000 1

---

# ZrAlBr2 | Alexandria via LeMat-Bulk | GGA-PBE | optimized geometry
# Uncorrected formation energy in eV/atom: -0.3592
data_ZrAlBr2
_cell_length_a 3.2889
_cell_length_b 3.2889
_cell_length_c 9.7741
_cell_angle_alpha 90.00
_cell_angle_beta 90.00
_cell_angle_gamma 90.00
_space_group_name_H-M_alt 'P 4/m m m'
_space_group_IT_number 123
_space_group_name_Hall '-P 4 2'
loop_
_atom_site_label
_atom_site_fract_x
_atom_site_fract_y
_atom_site_fract_z
_atom_site_occupancy
Zr1 0.0000 0.0000 0.0000 1
Al1 0.0000 0.0000 0.5000 1
Br1 0.5000 0.5000 0.1723 1

---

# Tb4Sm3Hg4 | Alexandria via LeMat-Bulk | GGA-PBE | optimized geometry
# E_form in eV per atom: -0.26
data_Tb4Sm3Hg4
_cell_length_a 4.9757
_cell_length_b 7.9130
_cell_length_c 16.4801
_cell_angle_alpha 90.00
_cell_angle_beta 90.00
_cell_angle_gamma 90.00
_space_group_name_H-M_alt 'I m m m'
_space_group_IT_number 71
_space_group_name_Hall '-I 2 2'
loop_
_atom_site_label
_atom_site_fract_x
_atom_site_fract_y
_atom_site_fract_z
_atom_site_occupancy
Tb1 0.0000 0.2146 0.1735 1
Sm1 0.0000 0.0000 0.3906 1
Sm2 0.0000 0.5000 0.5000 1
Hg1 0.0000 0.3083 0.0000 1
Hg2 0.0000 0.5000 0.2919 1

---

# CeSm2Be | Alexandria via LeMat-Bulk | GGA-PBE | optimized geometry
# E_form in eV per atom: 0.71
data_CeSm2Be
_cell_length_a 3.4249
_cell_length_b 3.4249
_cell_length_c 34.2021
_cell_angle_alpha 90.00
_cell_angle_beta 90.00
_cell_angle_gamma 120.00
_space_group_name_H-M_alt 'R -3 m'
_space_group_IT_number 166
_space_group_name_Hall '-R 3 2"'
loop_
_atom_site_label
_atom_site_fract_x
_atom_site_fract_y
_atom_site_fract_z
_atom_site_occupancy
Ce1 0.0000 0.0000 0.0000 1
Sm1 0.0000 0.0000 0.4154 1
Be1 0.0000 0.0000 0.5000 1

---

# Ce2NpTc2C4 | Alexandria via LeMat-Bulk | GGA-PBE | optimized geometry
# E_form in eV per atom: -0.01
data_Ce2NpTc2C4
_cell_length_a 13.9777
_cell_length_b 3.2880
_cell_length_c 5.9384
_cell_angle_alpha 90.00
_cell_angle_beta 108.21
_cell_angle_gamma 90.00
_space_group_name_H-M_alt 'C 1 2/m 1'
_space_group_IT_number 12
loop_
_space_group_symop_operation_xyz
'x,y,z'
'-x,-y,-z'
'-x,y,-z'
'x,-y,z'
'x+1/2,y+1/2,z'
'-x+1/2,-y+1/2,-z'
'-x+1/2,y+1/2,-z'
'x+1/2,-y+1/2,z'
loop_
_atom_site_label
_atom_site_fract_x
_atom_site_fract_y
_atom_site_fract_z
_atom_site_occupancy
Ce1 0.1271 0.0000 0.0162 1
Np1 0.0000 0.0000 0.5000 1
Tc1 0.1783 0.5000 0.5107 1
C1 0.0378 0.5000 0.2501 1
C2 0.2365 0.0000 0.7334 1

---

# Nd2GaHg2 | Alexandria via LeMat-Bulk | GGA-PBE | optimized geometry
# E_form in eV per atom: -0.33
data_Nd2GaHg2
_cell_length_a 10.4575
_cell_length_b 4.3745
_cell_length_c 6.2564
_cell_angle_alpha 90.00
_cell_angle_beta 93.75
_cell_angle_gamma 90.00
_space_group_name_H-M_alt 'C 1 2/m 1'
_space_group_IT_number 12
loop_
_space_group_symop_operation_xyz
'x,y,z'
'-x,-y,-z'
'-x,y,-z'
'x,-y,z'
'x+1/2,y+1/2,z'
'-x+1/2,-y+1/2,-z'
'-x+1/2,y+1/2,-z'
'x+1/2,-y+1/2,z'
loop_
_atom_site_label
_atom_site_fract_x
_atom_site_fract_y
_atom_site_fract_z
_atom_site_occupancy
Nd1 0.1947 0.0000 0.2155 1
Ga1 0.0000 0.5000 0.0000 1
Hg1 0.0950 0.0000 0.6911 1